Record 1
# GGA-PBE CrHg3Te, optimized geometry
# mass density = 8.52 g/cm³
# E_form (uncorrected) = 2.47 eV per formula unit
data_CrHg3Te
_cell_length_a 5.339
_cell_length_b 5.339
_cell_length_c 5.339
_cell_angle_alpha 90.00
_cell_angle_beta 90.00
_cell_angle_gamma 90.00
_symmetry_space_group_name_H-M 'P m -3 m'
_symmetry_Int_Tables_number 221
_symmetry_space_group_name_Hall '-P 4 2 3'
loop_
_atom_site_label
_atom_site_type_symbol
_atom_site_fract_x
_atom_site_fract_y
_atom_site_fract_z
Cr1 Cr 0.000 0.000 0.000
Hg1 Hg 0.000 0.000 0.500
Te1 Te 0.500 0.500 0.500

=====

Record 2
# GGA-PBE CrHgTe2, optimized geometry
# mass density = 8.28 g/cm³
# E_form (uncorrected) = 0.44 eV per formula unit
data_CrHgTe2
_cell_length_a 3.197
_cell_length_b 3.197
_cell_length_c 9.962
_cell_angle_alpha 90.00
_cell_angle_beta 90.00
_cell_angle_gamma 90.00
_symmetry_space_group_name_H-M 'P 4/m m m'
_symmetry_Int_Tables_number 123
_symmetry_space_group_name_Hall '-P 4 2'
loop_
_atom_site_label
_atom_site_type_symbol
_atom_site_fract_x
_atom_site_fract_y
_atom_site_fract_z
Cr1 Cr 0.000 0.000 0.000
Hg1 Hg 0.000 0.000 0.500
Te1 Te 0.500 0.500 0.163

=====

Record 3
# GGA-PBE TiCr3Hg, optimized geometry
# mass density = 5.35 g/cm³
# energy relative to the elements = 1.793 eV per atom
data_TiCr3Hg
_cell_length_a 5.006
_cell_length_b 5.006
_cell_length_c 5.006
_cell_angle_alpha 90.00
_cell_angle_beta 90.00
_cell_angle_gamma 90.00
_symmetry_space_group_name_H-M 'P m -3 m'
_symmetry_Int_Tables_number 221
_symmetry_space_group_name_Hall '-P 4 2 3'
loop_
_atom_site_label
_atom_site_type_symbol
_atom_site_fract_x
_atom_site_fract_y
_atom_site_fract_z
Ti1 Ti 0.000 0.000 0.000
Cr1 Cr 0.000 0.500 0.500
Hg1 Hg 0.500 0.500 0.500

=====

no.,D(E_F) (states/eV/cell)
1,4.40
2,1.45
3,14.30